(1)
BeAlCo | PBE | relaxed

Cell: 7.790 2.739 6.272 Å, 90.00 90.00 90.00°
Space group Pnma (No. 62)
One atom of each set of equivalent atoms:
Be 0.109 0.250 0.025 (multiplicity 4)
Al 0.104 0.750 0.353 (multiplicity 4)
Co 0.145 0.750 0.749 (multiplicity 4)

Values from the calculation:
Density of states at the Fermi level   6.0 states/eV/cell
M_tot   0.0 μB/cell
E_form   -0.202 eV/atom
Energy above the lowest structure with this stoichiometry   0.164 eV/atom
Electronic total energy   -5.0601 eV per atom

(2)
Be2AlCo3 | PBE | relaxed

Cell: 2.698 2.698 8.005 Å, 90.00 90.00 90.00°
Space group P4/mmm (No. 123)
One atom of each set of equivalent atoms:
Be 0.000 0.000 0.156 (multiplicity 2)
Al 0.000 0.000 0.500 (multiplicity 1)
Co 0.500 0.500 0.000 (multiplicity 1)
Co 0.500 0.500 0.312 (multiplicity 2)

Values from the calculation:
Density of states at the Fermi level   6.0 states/eV/cell
M_tot   0.7 μB/cell
E_form   -0.387 eV/atom
Electronic total energy   -5.8055 eV per atom

(3)
Be2AlCo2 | PBE | relaxed

Cell: 6.046 6.046 2.658 Å, 90.00 90.00 90.00°
Space group P4/mbm (No. 127)
One atom of each set of equivalent atoms:
Be 0.121 0.379 0.000 (multiplicity 4)
Al 0.000 0.000 0.000 (multiplicity 2)
Co 0.172 0.672 0.500 (multiplicity 4)

Values from the calculation:
Density of states at the Fermi level   5.9 states/eV/cell
M_tot   0.0 μB/cell
E_form   -0.397 eV/atom
Energy above the lowest structure with this stoichiometry   0.000 eV/atom
Electronic total energy   -5.4786 eV per atom

(4)
Be2AlCo | PBE | relaxed

Cell: 3.473 3.473 3.360 Å, 90.00 90.00 90.00°
Space group P4/mmm (No. 123)
One atom of each set of equivalent atoms:
Be 0.000 0.500 0.000 (multiplicity 2)
Al 0.000 0.000 0.500 (multiplicity 1)
Co 0.500 0.500 0.500 (multiplicity 1)

Values from the calculation:
Density of states at the Fermi level   2.3 states/eV/cell
M_tot   0.0 μB/cell
E_form   -0.195 eV/atom
Electronic total energy   -4.7706 eV per atom

(5)
BeAlCo3 | PBE | relaxed

Cell: 4.192 4.192 4.192 Å, 90.00 90.00 90.00°
Space group Pm-3m (No. 221)
One atom of each set of equivalent atoms:
Be 0.000 0.000 0.000 (multiplicity 1)
Al 0.500 0.500 0.500 (multiplicity 1)
Co 0.000 0.500 0.500 (multiplicity 3)

Values from the calculation:
Density of states at the Fermi level   8.6 states/eV/cell
M_tot   2.9 μB/cell
E_form   1.181 eV/atom
Energy above the lowest structure with this stoichiometry   1.007 eV/atom
Electronic total energy   -4.5768 eV per atom

(6)
BeAl2Co | PBE | relaxed

Cell: 6.648 6.648 4.961 Å, 90.00 90.00 90.00°
Space group I-42d (No. 122)
One atom of each set of equivalent atoms:
Be 0.000 0.000 0.000 (multiplicity 4)
Al 0.236 0.250 0.625 (multiplicity 8)
Co 0.000 0.000 0.500 (multiplicity 4)

Values from the calculation:
Density of states at the Fermi level   10.1 states/eV/cell
M_tot   0.0 μB/cell
E_form   0.384 eV/atom
Electronic total energy   -4.1949 eV per atom

> Look up the E_form of the fifth one.

1.181 eV/atom

> density of states at the Fermi level of number 1 (BeAlCo)?

6.0 states/eV/cell